# 1
# KCd3Pd GGA-PBE relaxed
data_KCd3Pd
_chemical_formula_sum 'K2 Cd6 Pd2'
_cell_length_a 5.964
_cell_length_b 6.274
_cell_length_c 6.831
_cell_angle_alpha 90.00
_cell_angle_beta 80.77
_cell_angle_gamma 89.99
_symmetry_space_group_name_H-M 'P 1'
_symmetry_Int_Tables_number 1
loop_
_symmetry_equiv_pos_as_xyz
'x,y,z'
loop_
_atom_site_label
_atom_site_type_symbol
_atom_site_fract_x
_atom_site_fract_y
_atom_site_fract_z
K1 K 0.000 0.000 0.000
K2 K 0.392 0.001 0.397
Cd1 Cd 0.160 0.500 0.190
Cd2 Cd 0.336 0.501 0.588
Cd3 Cd 0.530 0.254 0.919
Cd4 Cd 0.530 0.747 0.919
Cd5 Cd 0.853 0.255 0.526
Cd6 Cd 0.853 0.746 0.526
Pd1 Pd 0.657 0.500 0.239
Pd2 Pd 0.942 0.500 0.858
# DOS at the Fermi energy ... 3.637 states/eV per cell
# ΔE_f ... -16.8 kJ/mol of atoms
# M_tot ... 0.000 μB per atom
# Crystal system ... triclinic
# Relative energy among the computed polymorphs ... 26.8 meV/atom

---

# 2
# KCd3Pd GGA-PBE relaxed
data_KCd3Pd
_chemical_formula_sum 'K4 Cd12 Pd4'
_cell_length_a 7.039
_cell_length_b 10.522
_cell_length_c 7.886
_cell_angle_alpha 90.00
_cell_angle_beta 90.00
_cell_angle_gamma 90.00
_symmetry_space_group_name_H-M 'I m m a'
_symmetry_Int_Tables_number 74
_symmetry_space_group_name_Hall '-I 2b 2'
loop_
_atom_site_label
_atom_site_type_symbol
_atom_site_fract_x
_atom_site_fract_y
_atom_site_fract_z
K1 K 0.000 0.250 0.090
Cd1 Cd 0.000 0.250 0.567
Cd2 Cd 0.250 0.040 0.750
Pd1 Pd 0.000 0.000 0.500
# DOS at the Fermi energy ... 6.317 states/eV per cell
# ΔE_f ... -19.4 kJ/mol of atoms
# M_tot ... 0.000 μB per atom
# Crystal system ... orthorhombic
# Relative energy among the computed polymorphs ... 0.0 meV/atom

---

# 3
# KCd6Pd GGA-PBE relaxed
data_KCd6Pd
_chemical_formula_sum 'K3 Cd18 Pd3'
_cell_length_a 4.8123
_cell_length_b 4.8123
_cell_length_c 31.3207
_cell_angle_alpha 90.00
_cell_angle_beta 90.00
_cell_angle_gamma 120.00
_symmetry_space_group_name_H-M 'R -3 m'
_symmetry_Int_Tables_number 166
_symmetry_space_group_name_Hall '-R 3 2"'
loop_
_atom_site_label
_atom_site_type_symbol
_atom_site_fract_x
_atom_site_fract_y
_atom_site_fract_z
K1 K 0.0000 0.0000 0.0000
Cd1 Cd 0.0000 0.0000 0.1395
Cd2 Cd 0.0000 0.0000 0.2404
Cd3 Cd 0.0000 0.0000 0.4092
Pd1 Pd 0.0000 0.0000 0.5000
# DOS at the Fermi energy ... 8.836 states/eV per cell
# ΔE_f ... -9.0 kJ/mol of atoms
# M_tot ... 0.000 μB per atom
# Crystal system ... trigonal
# Relative energy among the computed polymorphs ... 22.3 meV/atom

---

# 4
# K3CdPd GGA-PBE relaxed
data_K3CdPd
_chemical_formula_sum 'K3 Cd1 Pd1'
_cell_length_a 6.212
_cell_length_b 6.212
_cell_length_c 6.212
_cell_angle_alpha 90.00
_cell_angle_beta 90.00
_cell_angle_gamma 90.00
_symmetry_space_group_name_H-M 'P m -3 m'
_symmetry_Int_Tables_number 221
_symmetry_space_group_name_Hall '-P 4 2 3'
loop_
_atom_site_label
_atom_site_type_symbol
_atom_site_fract_x
_atom_site_fract_y
_atom_site_fract_z
K1 K 0.000 0.000 0.500
Cd1 Cd 0.500 0.500 0.500
Pd1 Pd 0.000 0.000 0.000
# DOS at the Fermi energy ... 4.411 states/eV per cell
# ΔE_f ... 11.6 kJ/mol of atoms
# M_tot ... 0.000 μB per atom
# Crystal system ... cubic
# Relative energy among the computed polymorphs ... 0.0 meV/atom

---

# 5
# KCd3Pd GGA-PBE relaxed
data_KCd3Pd
_chemical_formula_sum 'K2 Cd6 Pd2'
_cell_length_a 6.273
_cell_length_b 6.175
_cell_length_c 7.339
_cell_angle_alpha 90.00
_cell_angle_beta 114.69
_cell_angle_gamma 90.00
_symmetry_space_group_name_H-M 'P 1 21/m 1'
_symmetry_Int_Tables_number 11
loop_
_symmetry_equiv_pos_as_xyz
'x,y,z'
'-x,-y,-z'
'-x,y+1/2,-z'
'x,-y+1/2,z'
loop_
_atom_site_label
_atom_site_type_symbol
_atom_site_fract_x
_atom_site_fract_y
_atom_site_fract_z
K1 K 0.170 0.250 0.127
Cd1 Cd 0.229 0.501 0.681
Cd2 Cd 0.350 0.750 0.374
Pd1 Pd 0.425 0.750 0.031
# DOS at the Fermi energy ... 4.112 states/eV per cell
# ΔE_f ... -14.6 kJ/mol of atoms
# M_tot ... 0.000 μB per atom
# Crystal system ... monoclinic
# Relative energy among the computed polymorphs ... 49.6 meV/atom

---

# 6
# KCd2Pd2 GGA-PBE relaxed
data_KCd2Pd2
_chemical_formula_sum 'K2 Cd4 Pd4'
_cell_length_a 8.314
_cell_length_b 8.314
_cell_length_c 3.040
_cell_angle_alpha 90.00
_cell_angle_beta 90.00
_cell_angle_gamma 90.00
_symmetry_space_group_name_H-M 'P 4/m b m'
_symmetry_Int_Tables_number 127
_symmetry_space_group_name_Hall '-P 4 2ab'
loop_
_atom_site_label
_atom_site_type_symbol
_atom_site_fract_x
_atom_site_fract_y
_atom_site_fract_z
K1 K 0.000 0.000 0.000
Cd1 Cd 0.160 0.340 0.500
Pd1 Pd 0.132 0.632 0.000
# DOS at the Fermi energy ... 2.871 states/eV per cell
# ΔE_f ... -25.1 kJ/mol of atoms
# M_tot ... 0.000 μB per atom
# Crystal system ... tetragonal
# Relative energy among the computed polymorphs ... 0.0 meV/atom

---

# 7
# KCd2Pd2 GGA-PBE relaxed
data_KCd2Pd2
_chemical_formula_sum 'K2 Cd4 Pd4'
_cell_length_a 4.582
_cell_length_b 4.582
_cell_length_c 11.548
_cell_angle_alpha 90.00
_cell_angle_beta 90.00
_cell_angle_gamma 90.00
_symmetry_space_group_name_H-M 'I 4/m m m'
_symmetry_Int_Tables_number 139
_symmetry_space_group_name_Hall '-I 4 2'
loop_
_atom_site_label
_atom_site_type_symbol
_atom_site_fract_x
_atom_site_fract_y
_atom_site_fract_z
K1 K 0.000 0.000 0.000
Cd1 Cd 0.000 0.500 0.250
Pd1 Pd 0.000 0.000 0.385
# DOS at the Fermi energy ... 4.371 states/eV per cell
# ΔE_f ... -15.7 kJ/mol of atoms
# M_tot ... 0.000 μB per atom
# Crystal system ... tetragonal
# Relative energy among the computed polymorphs ... 97.0 meV/atom

---

# 8
# KCd3Pd GGA-PBE relaxed
data_KCd3Pd
_chemical_formula_sum 'K2 Cd6 Pd2'
_cell_length_a 3.133
_cell_length_b 6.135
_cell_length_c 13.306
_cell_angle_alpha 90.00
_cell_angle_beta 90.00
_cell_angle_gamma 90.00
_symmetry_space_group_name_H-M 'A m m 2'
_symmetry_Int_Tables_number 38
loop_
_symmetry_equiv_pos_as_xyz
'x,y,z'
'-x,-y,z'
'-x,y,z'
'x,-y,z'
'x,y+1/2,z+1/2'
'-x,-y+1/2,z+1/2'
'-x,y+1/2,z+1/2'
'x,-y+1/2,z+1/2'
loop_
_atom_site_label
_atom_site_type_symbol
_atom_site_fract_x
_atom_site_fract_y
_atom_site_fract_z
K1 K 0.000 0.000 0.000
Cd1 Cd 0.000 0.247 0.262
Cd2 Cd 0.500 0.000 0.600
Pd1 Pd 0.500 0.000 0.395
# DOS at the Fermi energy ... 2.879 states/eV per cell
# ΔE_f ... -9.6 kJ/mol of atoms
# M_tot ... 0.000 μB per atom
# Crystal system ... orthorhombic
# Relative energy among the computed polymorphs ... 101.8 meV/atom

---

# 9
# KCdPd4 GGA-PBE relaxed
data_KCdPd4
_chemical_formula_sum 'K4 Cd4 Pd16'
_cell_length_a 7.721
_cell_length_b 7.721
_cell_length_c 7.721
_cell_angle_alpha 90.00
_cell_angle_beta 90.00
_cell_angle_gamma 90.00
_symmetry_space_group_name_H-M 'F -4 3 m'
_symmetry_Int_Tables_number 216
_symmetry_space_group_name_Hall 'F -4 2 3'
loop_
_atom_site_label
_atom_site_type_symbol
_atom_site_fract_x
_atom_site_fract_y
_atom_site_fract_z
K1 K 0.000 0.000 0.000
Cd1 Cd 0.250 0.250 0.250
Pd1 Pd 0.124 0.124 0.624
# DOS at the Fermi energy ... 37.887 states/eV per cell
# ΔE_f ... -3.6 kJ/mol of atoms
# M_tot ... 0.000 μB per atom
# Crystal system ... cubic

---

# 10
# KCd3Pd GGA-PBE relaxed
data_KCd3Pd
_chemical_formula_sum 'K4 Cd12 Pd4'
_cell_length_a 7.987
_cell_length_b 5.896
_cell_length_c 11.554
_cell_angle_alpha 90.00
_cell_angle_beta 117.25
_cell_angle_gamma 90.00
_symmetry_space_group_name_H-M 'P 1 21/c 1'
_symmetry_Int_Tables_number 14
loop_
_symmetry_equiv_pos_as_xyz
'x,y,z'
'-x,-y,-z'
'-x,y+1/2,-z+1/2'
'x,-y+1/2,z+1/2'
loop_
_atom_site_label
_atom_site_type_symbol
_atom_site_fract_x
_atom_site_fract_y
_atom_site_fract_z
K1 K 0.172 0.139 0.092
Cd1 Cd 0.020 0.615 0.213
Cd2 Cd 0.359 0.137 0.898
Cd3 Cd 0.377 0.621 0.161
Pd1 Pd 0.336 0.630 0.892
# DOS at the Fermi energy ... 7.879 states/eV per cell
# ΔE_f ... -10.1 kJ/mol of atoms
# M_tot ... 0.000 μB per atom
# Crystal system ... monoclinic
# Relative energy among the computed polymorphs ... 96.3 meV/atom

---

# 11
# K2CdPd GGA-PBE relaxed
data_K2CdPd
_chemical_formula_sum 'K6 Cd3 Pd3'
_cell_length_a 3.4713
_cell_length_b 3.4713
_cell_length_c 35.5351
_cell_angle_alpha 90.00
_cell_angle_beta 90.00
_cell_angle_gamma 120.00
_symmetry_space_group_name_H-M 'R -3 m'
_symmetry_Int_Tables_number 166
_symmetry_space_group_name_Hall '-R 3 2"'
loop_
_atom_site_label
_atom_site_type_symbol
_atom_site_fract_x
_atom_site_fract_y
_atom_site_fract_z
K1 K 0.0000 0.0000 0.0803
Cd1 Cd 0.0000 0.0000 0.5000
Pd1 Pd 0.0000 0.0000 0.0000
# DOS at the Fermi energy ... 9.983 states/eV per cell
# ΔE_f ... 38.4 kJ/mol of atoms
# M_tot ... 0.000 μB per atom
# Crystal system ... trigonal

---

# 12
# KCd3Pd GGA-PBE relaxed
data_KCd3Pd
_chemical_formula_sum 'K8 Cd24 Pd8'
_cell_length_a 11.365
_cell_length_b 13.373
_cell_length_c 7.070
_cell_angle_alpha 90.00
_cell_angle_beta 96.84
_cell_angle_gamma 90.00
_symmetry_space_group_name_H-M 'C 1 2/c 1'
_symmetry_Int_Tables_number 15
loop_
_symmetry_equiv_pos_as_xyz
'x,y,z'
'-x,-y,-z'
'-x,y,-z+1/2'
'x,-y,z+1/2'
'x+1/2,y+1/2,z'
'-x+1/2,-y+1/2,-z'
'-x+1/2,y+1/2,-z+1/2'
'x+1/2,-y+1/2,z+1/2'
loop_
_atom_site_label
_atom_site_type_symbol
_atom_site_fract_x
_atom_site_fract_y
_atom_site_fract_z
K1 K 0.130 0.135 0.171
Cd1 Cd 0.087 0.291 0.592
Cd2 Cd 0.109 0.450 0.938
Cd3 Cd 0.242 0.115 0.698
Pd1 Pd 0.000 0.122 0.750
Pd2 Pd 0.000 0.381 0.250
# DOS at the Fermi energy ... 11.807 states/eV per cell
# ΔE_f ... -11.2 kJ/mol of atoms
# M_tot ... 0.000 μB per atom
# Crystal system ... monoclinic
# Relative energy among the computed polymorphs ... 85.0 meV/atom

---

# 13
# KCd3Pd GGA-PBE relaxed
data_KCd3Pd
_chemical_formula_sum 'K4 Cd12 Pd4'
_cell_length_a 5.409
_cell_length_b 18.864
_cell_length_c 5.703
_cell_angle_alpha 90.00
_cell_angle_beta 90.00
_cell_angle_gamma 90.00
_symmetry_space_group_name_H-M 'C m c m'
_symmetry_Int_Tables_number 63
_symmetry_space_group_name_Hall '-C 2c 2'
loop_
_atom_site_label
_atom_site_type_symbol
_atom_site_fract_x
_atom_site_fract_y
_atom_site_fract_z
K1 K 0.000 0.197 0.250
Cd1 Cd 0.000 0.000 0.000
Cd2 Cd 0.243 0.383 0.250
Pd1 Pd 0.000 0.481 0.750
# DOS at the Fermi energy ... 12.953 states/eV per cell
# ΔE_f ... -1.5 kJ/mol of atoms
# M_tot ... 0.000 μB per atom
# Crystal system ... orthorhombic
# Relative energy among the computed polymorphs ... 185.2 meV/atom

---

# 14
# K2Cd6PdPt GGA-PBE relaxed
data_K2Cd6PdPt
_chemical_formula_sum 'K4 Cd12 Pd2 Pt2'
_cell_length_a 7.463
_cell_length_b 10.632
_cell_length_c 7.473
_cell_angle_alpha 90.00
_cell_angle_beta 90.00
_cell_angle_gamma 90.00
_symmetry_space_group_name_H-M 'P m m n'
_symmetry_Int_Tables_number 59
loop_
_symmetry_equiv_pos_as_xyz
'x,y,z'
'-x,-y,-z'
'-x+1/2,-y+1/2,z'
'x+1/2,y+1/2,-z'
'x+1/2,-y,-z'
'-x+1/2,y,z'
'-x,y+1/2,-z'
'x,-y+1/2,z'
loop_
_atom_site_label
_atom_site_type_symbol
_atom_site_fract_x
_atom_site_fract_y
_atom_site_fract_z
K1 K 0.250 0.044 0.247
Cd1 Cd 0.032 0.750 0.040
Cd2 Cd 0.034 0.750 0.471
Cd3 Cd 0.250 0.001 0.748
Pd1 Pd 0.250 0.250 0.743
Pt1 Pt 0.250 0.750 0.756
# DOS at the Fermi energy ... 4.710 states/eV per cell
# ΔE_f ... -22.2 kJ/mol of atoms
# M_tot ... 0.000 μB per atom
# Crystal system ... orthorhombic

---

# 15
# KCd2SnPd GGA-PBE relaxed
data_KCd2SnPd
_chemical_formula_sum 'K1 Cd2 Sn1 Pd1'
_cell_length_a 5.335
_cell_length_b 5.335
_cell_length_c 5.167
_cell_angle_alpha 90.00
_cell_angle_beta 90.00
_cell_angle_gamma 90.00
_symmetry_space_group_name_H-M 'P 4/m m m'
_symmetry_Int_Tables_number 123
_symmetry_space_group_name_Hall '-P 4 2'
loop_
_atom_site_label
_atom_site_type_symbol
_atom_site_fract_x
_atom_site_fract_y
_atom_site_fract_z
K1 K 0.000 0.000 0.000
Cd1 Cd 0.000 0.500 0.500
Sn1 Sn 0.500 0.500 0.000
Pd1 Pd 0.500 0.500 0.500
# DOS at the Fermi energy ... 2.414 states/eV per cell
# ΔE_f ... -17.7 kJ/mol of atoms
# M_tot ... 0.000 μB per atom
# Crystal system ... tetragonal

---

# 16
# KCdSnPd GGA-PBE relaxed
data_KCdSnPd
_chemical_formula_sum 'K3 Cd3 Sn3 Pd3'
_cell_length_a 4.7088
_cell_length_b 4.7088
_cell_length_c 18.8348
_cell_angle_alpha 90.00
_cell_angle_beta 90.00
_cell_angle_gamma 120.00
_symmetry_space_group_name_H-M 'R 3 m'
_symmetry_Int_Tables_number 160
_symmetry_space_group_name_Hall 'R 3 -2"'
loop_
_atom_site_label
_atom_site_type_symbol
_atom_site_fract_x
_atom_site_fract_y
_atom_site_fract_z
K1 K 0.0000 0.0000 0.0000
Cd1 Cd 0.0000 0.0000 0.4652
Sn1 Sn 0.0000 0.0000 0.1976
Pd1 Pd 0.0000 0.0000 0.8201
# DOS at the Fermi energy ... 2.859 states/eV per cell
# ΔE_f ... -27.4 kJ/mol of atoms
# M_tot ... 0.000 μB per atom
# Crystal system ... trigonal

---

# 17
# KCdSn2Pd GGA-PBE relaxed
data_KCdSn2Pd
_chemical_formula_sum 'K1 Cd1 Sn2 Pd1'
_cell_length_a 5.435
_cell_length_b 5.435
_cell_length_c 5.870
_cell_angle_alpha 90.00
_cell_angle_beta 90.00
_cell_angle_gamma 90.00
_symmetry_space_group_name_H-M 'P 4/m m m'
_symmetry_Int_Tables_number 123
_symmetry_space_group_name_Hall '-P 4 2'
loop_
_atom_site_label
_atom_site_type_symbol
_atom_site_fract_x
_atom_site_fract_y
_atom_site_fract_z
K1 K 0.000 0.000 0.000
Cd1 Cd 0.000 0.000 0.500
Sn1 Sn 0.000 0.500 0.500
Pd1 Pd 0.500 0.500 0.000
# DOS at the Fermi energy ... 3.218 states/eV per cell
# ΔE_f ... 62.3 kJ/mol of atoms
# M_tot ... 0.000 μB per atom
# Crystal system ... tetragonal

---

# 18
# K2CdTePd GGA-PBE relaxed
data_K2CdTePd
_chemical_formula_sum 'K2 Cd1 Te1 Pd1'
_cell_length_a 6.635
_cell_length_b 6.635
_cell_length_c 5.066
_cell_angle_alpha 90.00
_cell_angle_beta 90.00
_cell_angle_gamma 90.00
_symmetry_space_group_name_H-M 'P 4/m m m'
_symmetry_Int_Tables_number 123
_symmetry_space_group_name_Hall '-P 4 2'
loop_
_atom_site_label
_atom_site_type_symbol
_atom_site_fract_x
_atom_site_fract_y
_atom_site_fract_z
K1 K 0.000 0.500 0.000
Cd1 Cd 0.000 0.000 0.500
Te1 Te 0.500 0.500 0.000
Pd1 Pd 0.500 0.500 0.500
# DOS at the Fermi energy ... 0.487 states/eV per cell
# Energy ... -2.56 eV per atom
# M_tot ... 0.000 μB per atom
# Crystal system ... tetragonal

---

# 19
# K2Tl6CdPd GGA-PBE relaxed
data_K2Tl6CdPd
_chemical_formula_sum 'K12 Tl36 Cd6 Pd6'
_cell_length_a 7.7709
_cell_length_b 7.7709
_cell_length_c 38.5895
_cell_angle_alpha 90.00
_cell_angle_beta 90.00
_cell_angle_gamma 120.00
_symmetry_space_group_name_H-M 'R -3 m'
_symmetry_Int_Tables_number 166
_symmetry_space_group_name_Hall '-R 3 2"'
loop_
_atom_site_label
_atom_site_type_symbol
_atom_site_fract_x
_atom_site_fract_y
_atom_site_fract_z
K1 K 0.0000 0.0000 0.1356
K2 K 0.0000 0.0000 0.3089
Tl1 Tl 0.0255 0.5128 0.7223
Tl2 Tl 0.0565 0.5282 0.8826
Cd1 Cd 0.0000 0.0000 0.0000
Cd2 Cd 0.0000 0.0000 0.5000
Pd1 Pd 0.0000 0.0000 0.4254
# DOS at the Fermi energy ... 34.574 states/eV per cell
# ΔE_f ... -4.3 kJ/mol of atoms
# M_tot ... 0.000 μB per atom
# Crystal system ... trigonal

---

# 20
# KZn2CdPd GGA-PBE relaxed
data_KZn2CdPd
_chemical_formula_sum 'K1 Zn2 Cd1 Pd1'
_cell_length_a 4.969
_cell_length_b 4.969
_cell_length_c 5.285
_cell_angle_alpha 90.00
_cell_angle_beta 90.00
_cell_angle_gamma 90.00
_symmetry_space_group_name_H-M 'P 4/m m m'
_symmetry_Int_Tables_number 123
_symmetry_space_group_name_Hall '-P 4 2'
loop_
_atom_site_label
_atom_site_type_symbol
_atom_site_fract_x
_atom_site_fract_y
_atom_site_fract_z
K1 K 0.000 0.000 0.000
Zn1 Zn 0.000 0.500 0.500
Cd1 Cd 0.500 0.500 0.000
Pd1 Pd 0.500 0.500 0.500
# DOS at the Fermi energy ... 1.565 states/eV per cell
# ΔE_f ... -15.7 kJ/mol of atoms
# M_tot ... 0.000 μB per atom
# Crystal system ... tetragonal